First-principles (PBE+U) data for MnCrAgF6 after structural relaxation, as listed in the Alexandria database.

Raw total energy: -100.22 eV for the cell shown

a = 5.5213 Å, b = 5.5213 Å, c = 10.2390 Å
α = 90.00°, β = 90.00°, γ = 120.00°
Element x y z (fractional)
F 0.6452 0.6190 0.1455
F 0.3810 0.0262 0.1455
Mn 0.6667 0.3333 0.7500
F 0.9738 0.6190 0.3545
F 0.3810 0.3548 0.3545
F 0.6190 0.9738 0.8545
Ag 0.0000 0.0000 0.5000
F 0.6452 0.0262 0.3545
Ag 0.0000 0.0000 0.0000
Mn 0.3333 0.6667 0.2500
F 0.9738 0.3548 0.1455
F 0.3548 0.3810 0.8545
Cr 0.6667 0.3333 0.2500
F 0.0262 0.3810 0.6455
Cr 0.3333 0.6667 0.7500
F 0.3548 0.9738 0.6455
F 0.6190 0.6452 0.6455
F 0.0262 0.6452 0.8545